DFT (PBE) results for KCuPb after structural relaxation.

extended XYZ file:
```
3
Lattice="4.578 0.000 0.000 -2.289 3.964 0.000 0.000 0.000 5.432" Properties=species:S:1:pos:R:3 pbc="T T T"
K 0.000 0.000 0.000
Cu 0.000 2.643 2.726
Pb 2.289 1.321 2.715
```

Calculated values
V = 32.86 Å³ per atom
Magnetic moment = 0.00 μB per cell
ΔH_f (0 K) = 3.502 kcal/mol of atoms

DFT (PBE) results for KCu2Pb after structural relaxation.

extended XYZ file:
```
4
Lattice="3.607 -3.615 0.000 3.607 3.615 0.000 0.000 0.000 3.568" Properties=species:S:1:pos:R:3 pbc="T T T"
K 0.000 0.000 0.000
Cu 1.803 1.808 1.784
Cu 1.803 -1.808 1.784
Pb 3.607 0.000 0.000
```

Calculated values
V = 23.26 Å³ per atom
Magnetic moment = 0.00 μB per cell
ΔH_f (0 K) = 10.085 kcal/mol of atoms

DFT (PBE) results for KCuPb after structural relaxation.

extended XYZ file:
```
12
Lattice="6.234 0.000 0.000 0.000 7.277 0.000 -3.531 0.000 8.137" Properties=species:S:1:pos:R:3 pbc="T T T"
K -0.190 0.810 3.211
K -1.956 2.828 7.280
K 4.659 4.449 0.858
K 2.893 6.467 4.926
Cu 1.501 4.777 2.359
Cu -0.265 6.139 6.428
Cu 2.968 1.138 1.709
Cu 1.202 2.500 5.778
Pb -0.238 4.373 4.415
Pb 1.528 6.543 0.347
Pb 1.176 0.734 7.791
Pb 2.941 2.904 3.722
```

Calculated values
V = 30.76 Å³ per atom
Magnetic moment = 0.00 μB per cell
ΔH_f (0 K) = 1.536 kcal/mol of atoms